Sr2La3FeCo4O15: optimized geometry, PBE+U.

Structure (POSCAR):
```
Sr2La3FeCo4O15
1.0
-5.077 -1.297 -10.344
0.268 -1.737 -11.462
-2.498 -6.066 -9.561
O Fe Sr La Co
15 1 2 3 4
direct
0.396 0.396 0.912 O
0.601 0.601 0.099 O
0.912 0.396 0.396 O
0.601 0.099 0.601 O
0.805 0.805 0.285 O
0.493 0.004 0.004 O
0.805 0.285 0.805 O
0.194 0.706 0.194 O
0.396 0.912 0.396 O
0.194 0.194 0.706 O
0.099 0.601 0.601 O
0.285 0.805 0.805 O
0.004 0.493 0.004 O
0.706 0.194 0.194 O
0.004 0.004 0.493 O
0.400 0.400 0.400 Fe
0.700 0.700 0.700 Sr
0.500 0.500 0.500 Sr
0.900 0.900 0.900 La
0.300 0.300 0.300 La
0.101 0.101 0.101 La
0.600 0.600 0.600 Co
0.200 0.200 0.200 Co
0.000 0.000 0.000 Co
0.800 0.800 0.800 Co
```

Computed properties:
The value obtained for the total magnetization is 4.32 Bohr magnetons per cell. The calculation puts the calculated total energy at -6.780 eV per atom. Its space-group type is R3m (160).